No. 1
GaHg2Sb2 | PBE | optimized geometry

```
data_GaHg2Sb2
_cell_length_a 8.7552
_cell_length_b 8.7552
_cell_length_c 3.5186
_cell_angle_alpha 90.00
_cell_angle_beta 90.00
_cell_angle_gamma 90.00
_symmetry_space_group_name_H-M 'P 1'
_symmetry_Int_Tables_number 1
loop_
_symmetry_equiv_pos_as_xyz
'x,y,z'
loop_
_atom_site_label
_atom_site_fract_x
_atom_site_fract_y
_atom_site_fract_z
Ga1 0.0000 0.0000 0.0000
Ga2 0.5000 0.5000 0.0000
Hg1 0.1522 0.3478 0.0000
Hg2 0.3478 0.8478 0.0000
Hg3 0.6522 0.1522 0.0000
Hg4 0.8478 0.6522 0.0000
Sb1 0.1473 0.6473 0.5000
Sb2 0.3527 0.1473 0.5000
Sb3 0.6473 0.8527 0.5000
Sb4 0.8527 0.3527 0.5000
```

Properties
* offset from the most stable computed form: 0.039 eV/atom
* space group: No. 127
* E_tot: -2.142 eV per atom
* total magnetization: 0.0 μB/f.u.

=====

No. 2
GaHgSb3 | PBE | optimized geometry

```
data_GaHgSb3
_cell_length_a 5.3822
_cell_length_b 5.3822
_cell_length_c 5.3822
_cell_angle_alpha 90.00
_cell_angle_beta 90.00
_cell_angle_gamma 90.00
_symmetry_space_group_name_H-M 'P 1'
_symmetry_Int_Tables_number 1
loop_
_symmetry_equiv_pos_as_xyz
'x,y,z'
loop_
_atom_site_label
_atom_site_fract_x
_atom_site_fract_y
_atom_site_fract_z
Ga1 0.0000 0.0000 0.0000
Hg1 0.5000 0.5000 0.5000
Sb1 0.0000 0.0000 0.5000
Sb2 0.0000 0.5000 0.0000
Sb3 0.5000 0.0000 0.0000
```

Properties
* offset from the most stable computed form: 0.000 eV/atom
* space group: No. 221
* E_tot: -2.587 eV per atom
* total magnetization: 0.0 μB/f.u.